Record 1
VASP calculation (GGA-PBE) on a relaxed structure of Pm2Ga3Au9.

## Properties
**ΔH_f (0 K)**: -0.50 eV per atom
**Theoretical density**: 13.66 Mg/m³
**Crystal system**: monoclinic
**Magnetization**: 0.0 μB per formula unit

Cell: 8.088 8.088 10.813 Å, 89.94 111.99 120.05°
Fractional coordinates of all 28 atoms:
Au 0.129 0.982 0.929
Au 0.111 0.861 0.250
Au 0.553 0.200 0.571
Au 0.123 0.141 0.428
Au 0.316 0.300 0.240
Au 0.440 0.924 0.740
Au 0.871 0.018 0.071
Au 0.447 0.800 0.429
Au 0.228 0.528 0.584
Au 0.684 0.700 0.760
Au 0.556 0.357 0.084
Au 0.213 0.694 0.072
Au 0.877 0.859 0.572
Au 0.889 0.139 0.750
Au 0.444 0.643 0.916
Au 0.560 0.076 0.260
Au 0.787 0.306 0.928
Au 0.772 0.472 0.416
Pm 0.006 0.417 0.254
Pm 0.994 0.583 0.746
Pm 0.337 0.248 0.754
Pm 0.663 0.752 0.246
Ga 0.819 0.640 0.006
Ga 0.181 0.360 0.994
Ga 0.866 0.187 0.506
Ga 0.500 0.000 0.000
Ga 0.500 0.500 0.500
Ga 0.134 0.813 0.494

Record 2
VASP calculation (GGA-PBE) on a relaxed structure of AcHgP2S8.

## Properties
**E_form (uncorrected)**: -430 meV/atom
**Theoretical density**: 3.66 Mg/m³
**Crystal system**: trigonal
**Magnetization**: 0.0 μB per formula unit

Cell: 6.460 6.460 9.379 Å, 90.00 90.00 120.00°
Fractional coordinates of all 12 atoms:
S 0.841 0.159 0.231
S 0.681 0.841 0.769
S 0.159 0.841 0.769
S 0.841 0.681 0.231
S 0.667 0.333 0.515
S 0.159 0.319 0.769
S 0.333 0.667 0.485
S 0.319 0.159 0.231
P 0.333 0.667 0.700
P 0.667 0.333 0.300
Hg 0.000 0.000 0.000
Ac 0.000 0.000 0.500

Record 3
VASP calculation (GGA-PBE) on a relaxed structure of Sc2TaO.

## Properties
**E_form (uncorrected)**: -829 meV/atom
**Theoretical density**: 6.08 Mg/m³
**Crystal system**: trigonal
**Magnetization**: 0.5 μB per formula unit

Cell: 8.799 8.799 8.799 Å, 21.25 21.25 21.25°
Last column: magnetic moment on the atom in μB.
Fractional coordinates of all 4 atoms:
Sc 0.927 0.927 0.927  0.13
Sc 0.073 0.073 0.073  0.13
O 0.000 0.000 0.000  -0.01
Ta 0.500 0.500 0.500  0.04

Record 4
VASP calculation (GGA-PBE) on a relaxed structure of CdSn2Pd2.

## Properties
**ΔH_f (0 K)**: -0.41 eV per atom
**Theoretical density**: 8.93 Mg/m³
**Crystal system**: monoclinic
**Magnetization**: 0.0 μB per formula unit
**Distance to the lowest polymorph of the same formula**: 6.3 meV/atom

Cell: 4.692 7.214 7.220 Å, 68.50 71.02 71.26°
Fractional coordinates of all 10 atoms:
Cd 0.250 0.250 0.750
Cd 0.750 0.750 0.250
Pd 0.666 0.166 0.000
Pd 0.833 0.334 0.500
Pd 0.333 0.834 0.000
Pd 0.167 0.666 0.500
Sn 0.919 0.915 0.748
Sn 0.582 0.585 0.752
Sn 0.081 0.085 0.252
Sn 0.418 0.415 0.248

Record 5
VASP calculation (GGA-PBE) on a relaxed structure of SrDy5Te6.

## Properties
**E_form (uncorrected)**: -1336 meV/atom
**Theoretical density**: 7.62 Mg/m³
**Crystal system**: monoclinic
**Magnetization**: 0.0 μB per formula unit

Cell: 7.673 7.603 7.611 Å, 60.03 80.48 70.67°
Fractional coordinates of all 12 atoms:
Dy 0.000 0.668 0.665
Dy 0.500 0.844 0.313
Dy 0.500 0.500 0.000
Dy 0.500 0.156 0.687
Dy 0.000 0.332 0.335
Te 0.752 0.738 0.000
Te 0.740 0.086 0.345
Te 0.260 0.569 0.345
Te 0.248 0.262 0.000
Te 0.740 0.431 0.655
Te 0.260 0.914 0.655
Sr 0.000 0.000 0.000

Record 6
VASP calculation (GGA-PBE) on a relaxed structure of MnPbAu2.

## Properties
**ΔH_f (0 K)**: 0.24 eV per atom
**Theoretical density**: 12.89 Mg/m³
**Crystal system**: tetragonal
**Magnetization**: 3.9 μB per formula unit

Cell: 4.094 4.094 10.491 Å, 78.75 78.75 90.00°
Last column: magnetic moment on the atom in μB.
Fractional coordinates of all 8 atoms:
Pb 0.750 0.250 0.500  -0.11
Pb 0.000 0.000 0.000  -0.11
Au 0.375 0.390 0.750  0.01
Au 0.140 0.625 0.250  0.01
Au 0.610 0.125 0.250  0.01
Au 0.875 0.860 0.750  0.01
Mn 0.500 0.500 0.000  3.81
Mn 0.250 0.750 0.500  3.81

Record 7
VASP calculation (GGA-PBE) on a relaxed structure of RbPdBr2.

## Properties
**E_form (uncorrected)**: -644 meV/atom
**Theoretical density**: 2.89 Mg/m³
**Crystal system**: trigonal
**Magnetization**: 1.1 μB per formula unit
**Distance to the lowest polymorph of the same formula**: 77.3 meV/atom

Cell: 8.616 8.616 8.616 Å, 36.48 36.48 36.48°
Last column: magnetic moment on the atom in μB.
Fractional coordinates of all 4 atoms:
Pd 0.000 0.000 0.000  0.69
Br 0.101 0.101 0.101  0.05
Br 0.899 0.899 0.899  0.05
Rb 0.500 0.500 0.500  0.00